VASP calculation (PBE-GGA) on a relaxed structure of K4TlCu3F12.

As for the space group: Im-3m. The value obtained for the total magnetization is 2.026 μB/f.u. The calculation puts the total energy at -83.61 eV/cell. For the uncorrected formation energy, the calculation gives -2.105 eV/atom.

a b c (Å): 7.3205 7.3205 7.3205
angles (deg): 109.47 109.47 109.47
Last column: nearest neighbours and their distance in Å.
Positions (direct):
K 0.0000 0.0000 0.5000  12 F 2.99
K 0.0000 0.5000 0.0000  12 F 2.99
K 0.5000 0.0000 0.0000  12 F 2.99
K 0.5000 0.5000 0.5000  12 F 2.99
Tl 0.0000 0.0000 0.0000  6 F 2.24
Cu 0.0000 0.5000 0.5000  6 F 1.99-2.11
Cu 0.5000 0.0000 0.5000  6 F 1.99-2.11
Cu 0.5000 0.5000 0.0000  6 F 1.99-2.11
F 0.0000 0.2647 0.2647  1 Cu 1.99
F 0.0000 0.7353 0.7353  1 Cu 1.99
F 0.2500 0.5000 0.7500  2 Cu 2.11
F 0.2500 0.7500 0.5000  2 Cu 2.11
F 0.2647 0.0000 0.2647  1 Cu 1.99
F 0.2647 0.2647 0.0000  1 Cu 1.99
F 0.5000 0.2500 0.7500  2 Cu 2.11
F 0.5000 0.7500 0.2500  2 Cu 2.11
F 0.7353 0.0000 0.7353  1 Cu 1.99
F 0.7353 0.7353 0.0000  1 Cu 1.99
F 0.7500 0.2500 0.5000  2 Cu 2.11
F 0.7500 0.5000 0.2500  2 Cu 2.11